# 1
## Tb2Nd2Sm3 (PBE)

Data for a geometry-optimized Tb2Nd2Sm3 structure.

Output
Energy above the most stable polymorph in this dataset (meV/atom): 89
Total energy (eV per cell): -64.5
Magnetic moment (μB per formula unit): 0.00
Theoretical density (Mg/m³): 7.4

a = 17.652 Å, b = 3.533 Å, c = 8.750 Å
α = 90.00°, β = 119.06°, γ = 90.00°
Space group C2/m (No. 12)
Unique sites:
Tb  0.065  0.000  0.406 [4 per cell]
Nd  0.146  0.500  0.825 [4 per cell]
Sm  0.000  0.500  0.000 [2 per cell]
Sm  0.213  0.500  0.305 [4 per cell]

---

# 2
## Tb6NdSm3 (PBE)

Data for a geometry-optimized Tb6NdSm3 structure.

Output
Energy above the most stable polymorph in this dataset (meV/atom): 0
Total energy (eV per cell): -180.9
Magnetic moment (μB per formula unit): 0.00
Theoretical density (Mg/m³): 7.7

a = 11.053 Å, b = 19.050 Å, c = 6.317 Å
α = 90.00°, β = 90.00°, γ = 90.00°
Space group Cmc2_1 (No. 36)
Unique sites:
Tb  0.000  0.041  0.000 [4 per cell]
Tb  0.000  0.277  0.761 [4 per cell]
Tb  0.166  0.455  0.659 [8 per cell]
Tb  0.242  0.290  0.488 [8 per cell]
Nd  0.000  0.198  0.246 [4 per cell]
Sm  0.000  0.388  0.188 [4 per cell]
Sm  0.175  0.113  0.577 [8 per cell]

---

# 3
## Tb8Nd4Sm3 (PBE)

Data for a geometry-optimized Tb8Nd4Sm3 structure.

Output
Energy above the most stable polymorph in this dataset (meV/atom): 230
Total energy (eV per cell): -129.9
Magnetic moment (μB per formula unit): 0.00
Theoretical density (Mg/m³): 7.4

a = 13.533 Å, b = 12.889 Å, c = 6.832 Å
α = 90.00°, β = 120.25°, γ = 90.00°
Space group C2/m (No. 12)
Unique sites:
Tb  0.000  0.140  0.000 [4 per cell]
Tb  0.000  0.243  0.500 [4 per cell]
Tb  0.231  0.000  0.465 [4 per cell]
Tb  0.233  0.000  0.991 [4 per cell]
Nd  0.000  0.500  0.000 [2 per cell]
Nd  0.000  0.500  0.500 [2 per cell]
Nd  0.250  0.250  0.500 [4 per cell]
Sm  0.000  0.000  0.500 [2 per cell]
Sm  0.250  0.250  0.000 [4 per cell]

---

Among the records above, which one has the lowest energy above the most stable polymorph in this dataset?
Tb6NdSm3